# BaLi2Ag10 | Alexandria via LeMat-Bulk | PBE | relaxed
# Electronic total energy in eV/atom: -2.737
# N(E_F) in states/eV/f.u.: 3.2
# Spin magnetization in μB per cell: 0.00
# Theoretical density in g cm⁻³: 7.897
data_BaLi2Ag10
_chemical_formula_sum 'Ba4 Li8 Ag40'
_space_group_name_H-M_alt 'F m m m'
_space_group_IT_number 69
_space_group_name_Hall '-F 2 2'
_cell_length_a 5.4306
_cell_length_b 13.4538
_cell_length_c 14.1581
_cell_angle_alpha 90.00
_cell_angle_beta 90.00
_cell_angle_gamma 90.00
loop_
_atom_site_label
_atom_site_fract_x
_atom_site_fract_y
_atom_site_fract_z
Ba1 0.0000 0.0000 0.0000
Li1 0.2500 0.0000 0.2500
Ag1 0.0000 0.1099 0.3774
Ag2 0.0000 0.1777 0.1778
Ag3 0.2500 0.2500 0.0000



# BaLi3Ag | Alexandria via LeMat-Bulk | PBE | relaxed
# Electronic total energy in eV/atom: -2.185
# N(E_F) in states/eV/f.u.: 3.0
# Energy above the most stable polymorph in this dataset in meV/atom: 0
# Spin magnetization in μB per cell: 0.00
# Theoretical density in g cm⁻³: 3.231
data_BaLi3Ag
_chemical_formula_sum 'Ba2 Li6 Ag2'
_space_group_name_H-M_alt 'P 1 m 1'
_space_group_IT_number 6
_space_group_name_Hall 'P -2y'
_cell_length_a 7.7289
_cell_length_b 4.5705
_cell_length_c 8.0217
_cell_angle_alpha 90.00
_cell_angle_beta 105.21
_cell_angle_gamma 90.00
loop_
_atom_site_label
_atom_site_fract_x
_atom_site_fract_y
_atom_site_fract_z
Ba1 0.0000 0.0000 0.0000
Ba2 0.3818 0.5000 0.3725
Li1 0.0821 0.0000 0.5547
Li2 0.2990 0.5000 0.8172
Li3 0.5485 0.0000 0.0809
Li4 0.5539 0.0000 0.7183
Li5 0.8292 0.5000 0.6525
Li6 0.8314 0.5000 0.2883
Ag1 0.6555 0.5000 0.9273
Ag2 0.7262 0.0000 0.4423



# Ba4LiAg3 | Alexandria via LeMat-Bulk | PBE | relaxed
# Electronic total energy in eV/atom: -2.469
# N(E_F) in states/eV/f.u.: 6.5
# Spin magnetization in μB per cell: 0.00
# Theoretical density in g cm⁻³: 4.765
data_Ba4LiAg3
_chemical_formula_sum 'Ba4 Li1 Ag3'
_space_group_name_H-M_alt 'P m m 2'
_space_group_IT_number 25
_space_group_name_Hall 'P 2 -2'
_cell_length_a 4.8089
_cell_length_b 4.9247
_cell_length_c 12.9463
_cell_angle_alpha 90.00
_cell_angle_beta 90.00
_cell_angle_gamma 90.00
loop_
_atom_site_label
_atom_site_fract_x
_atom_site_fract_y
_atom_site_fract_z
Ba1 0.0000 0.0000 0.0000
Ba2 0.0000 0.5000 0.2696
Ba3 0.5000 0.0000 0.4857
Ba4 0.5000 0.5000 0.7757
Li1 0.0000 0.0000 0.6860
Ag1 0.0000 0.5000 0.5708
Ag2 0.5000 0.0000 0.2001
Ag3 0.5000 0.5000 0.0674